1.
The following is a PBE calculation of a relaxed K5ZnAu2 crystal, from Alexandria.

The structure in POSCAR format:
```
K5ZnAu2
1.0
2.2009 -8.7385 0.0000
2.2009 8.7385 0.0000
0.0000 0.0000 18.2336
K Zn Au
10 2 4
Direct
0.0790 0.9210 0.6208 K
0.0790 0.9210 0.8792 K
0.3237 0.6763 0.5565 K
0.3237 0.6763 0.9435 K
0.3946 0.6054 0.7500 K
0.6054 0.3946 0.2500 K
0.6763 0.3237 0.0565 K
0.6763 0.3237 0.4435 K
0.9210 0.0790 0.1208 K
0.9210 0.0790 0.3792 K
0.2138 0.7862 0.7500 Zn
0.7862 0.2138 0.2500 Zn
0.2698 0.7302 0.1683 Au
0.2698 0.7302 0.3317 Au
0.7302 0.2698 0.6683 Au
0.7302 0.2698 0.8317 Au
```

Values from the calculation:
As for the size of the total moment: 0.00 μB/f.u. Its symmetry is Cmcm (63). The calculation puts the density of states at the Fermi level at 0.43 states/eV per atom. The value obtained for the energy of formation is -0.9 eV per formula unit.

2.
The following is a PBE calculation of a relaxed Sm3Y4Tm2 crystal, from Alexandria.

The structure in POSCAR format:
```
Sm3Y4Tm2
1.0
7.5745 -2.5264 0.0000
7.5745 2.5264 0.0000
-2.5019 0.0000 7.5797
Sm Y Tm
3 4 2
Direct
0.0000 0.0000 0.0000 Sm
0.1098 0.1098 0.6654 Sm
0.8902 0.8902 0.3346 Sm
0.2215 0.2215 0.3341 Y
0.3338 0.3338 0.9994 Y
0.6662 0.6662 0.0006 Y
0.7785 0.7785 0.6659 Y
0.4445 0.4445 0.6655 Tm
0.5555 0.5555 0.3345 Tm
```

Values from the calculation:
As for the size of the total moment: 0.00 μB/f.u. Its symmetry is C2/m (12). The calculation puts the density of states at the Fermi level at 1.43 states/eV per atom. The value obtained for the energy of formation is 0.2 eV per formula unit.

3.
The following is a PBE calculation of a relaxed TmPa2P4 crystal, from Alexandria.

The structure in POSCAR format:
```
TmPa2P4
1.0
1.9629 -6.6208 0.0000
1.9629 6.6208 0.0000
0.0000 0.0000 12.6510
Tm Pa P
2 4 8
Direct
0.1171 0.8829 0.7500 Tm
0.8829 0.1171 0.2500 Tm
0.3695 0.6305 0.5679 Pa
0.3695 0.6305 0.9321 Pa
0.6305 0.3695 0.0679 Pa
0.6305 0.3695 0.4321 Pa
0.0000 0.0000 0.0000 P
0.0000 0.0000 0.5000 P
0.2683 0.7317 0.1255 P
0.2683 0.7317 0.3745 P
0.4716 0.5284 0.7500 P
0.5284 0.4716 0.2500 P
0.7317 0.2683 0.6255 P
0.7317 0.2683 0.8745 P
```

Values from the calculation:
As for the size of the total moment: 0.00 μB/f.u. Its symmetry is Cmcm (63). The calculation puts the density of states at the Fermi level at 0.31 states/eV per atom. The value obtained for the energy of formation is -7.2 eV per formula unit.

4.
The following is a PBE calculation of a relaxed Eu2ScPb crystal, from Alexandria.

The structure in POSCAR format:
```
Eu2ScPb
1.0
4.8666 0.0000 0.0000
0.0000 4.8666 0.0000
0.0000 0.0000 5.0304
Eu Sc Pb
2 1 1
Direct
0.0000 0.5000 0.0000 Eu
0.5000 0.0000 0.0000 Eu
0.0000 0.0000 0.5000 Sc
0.5000 0.5000 0.5000 Pb
```

Values from the calculation:
As for the size of the total moment: 14.86 μB/f.u. Its symmetry is P4/mmm (123). The calculation puts the density of states at the Fermi level at 0.90 states/eV per atom. The value obtained for the energy of formation is -1.0 eV per formula unit.

> What is the energy of formation in the third record?

-7.2 eV per formula unit

> What is the energy of formation in the second record?

0.2 eV per formula unit

Please write out number 3 again, unchanged.
The following is a PBE calculation of a relaxed TmPa2P4 crystal, from Alexandria.

The structure in POSCAR format:
```
TmPa2P4
1.0
1.9629 -6.6208 0.0000
1.9629 6.6208 0.0000
0.0000 0.0000 12.6510
Tm Pa P
2 4 8
Direct
0.1171 0.8829 0.7500 Tm
0.8829 0.1171 0.2500 Tm
0.3695 0.6305 0.5679 Pa
0.3695 0.6305 0.9321 Pa
0.6305 0.3695 0.0679 Pa
0.6305 0.3695 0.4321 Pa
0.0000 0.0000 0.0000 P
0.0000 0.0000 0.5000 P
0.2683 0.7317 0.1255 P
0.2683 0.7317 0.3745 P
0.4716 0.5284 0.7500 P
0.5284 0.4716 0.2500 P
0.7317 0.2683 0.6255 P
0.7317 0.2683 0.8745 P
```

Values from the calculation:
As for the size of the total moment: 0.00 μB/f.u. Its symmetry is Cmcm (63). The calculation puts the density of states at the Fermi level at 0.31 states/eV per atom. The value obtained for the energy of formation is -7.2 eV per formula unit.